[1]
A plane-wave DFT calculation with GGA-PBE was carried out for crystalline BaOsSe2 at its relaxed geometry. Values from VASP.

```
&SYSTEM
  ibrav = 0, nat = 8, ntyp = 3
/
ATOMIC_SPECIES
Se 78.96 Se.upf
Ba 137.33 Ba.upf
Os 190.23 Os.upf
CELL_PARAMETERS angstrom
6.4383 0.0000 0.0000
0.0000 6.4383 0.0000
3.2192 3.2192 6.0573
ATOMIC_POSITIONS crystal
Se 0.3750 0.2721 0.7500
Se 0.0221 0.6250 0.2500
Se 0.7279 0.1250 0.2500
Se 0.8750 0.9779 0.7500
Ba 0.5000 0.5000 0.0000
Ba 0.2500 0.7500 0.5000
Os 0.0000 0.0000 0.0000
Os 0.7500 0.2500 0.5000
```

E_form (uncorrected) (eV per atom): -0.373

***

[2]
A plane-wave DFT calculation with GGA-PBE was carried out for crystalline InIr2PdAu at its relaxed geometry. Values from VASP.

```
&SYSTEM
  ibrav = 0, nat = 5, ntyp = 4
/
ATOMIC_SPECIES
Pd 106.42 Pd.upf
Ir 192.22 Ir.upf
Au 196.97 Au.upf
In 114.82 In.upf
CELL_PARAMETERS angstrom
4.8916 0.0000 0.0000
0.0000 4.9694 0.0000
0.0000 0.0000 4.8916
ATOMIC_POSITIONS crystal
Pd 0.5000 0.5000 0.5000
Ir 0.0000 0.0000 0.5000
Ir 0.5000 0.0000 0.0000
Au 0.0000 0.5000 0.0000
In 0.0000 0.0000 0.0000
```

Raw total energy (eV per formula unit): -19.91

***

[3]
A plane-wave DFT calculation with GGA-PBE was carried out for crystalline FeBiIr3 at its relaxed geometry. Values from VASP.

```
&SYSTEM
  ibrav = 0, nat = 5, ntyp = 3
/
ATOMIC_SPECIES
Ir 192.22 Ir.upf
Bi 208.98 Bi.upf
Fe 55.84 Fe.upf
CELL_PARAMETERS angstrom
4.9423 0.0000 0.0000
0.0000 4.9423 0.0000
0.0000 0.0000 4.9423
ATOMIC_POSITIONS crystal
Ir 0.0000 0.0000 0.5000
Ir 0.5000 0.0000 0.0000
Ir 0.0000 0.5000 0.0000
Bi 0.0000 0.0000 0.0000
Fe 0.5000 0.5000 0.5000
```

Raw total energy (eV per formula unit): -25.47

***

no.,mass density (g cm⁻³),total magnetic moment (μB/atom)
1,6.42,0.000
2,11.21,0.361
3,11.57,0.014